Entry from OQMD via LeMat-Bulk: a relaxed structure of GdCd (PBE).

Cell: 3.7581 3.7581 3.7581 Å, 90.00 90.00 90.00°
Site moments in Bohr magnetons follow the coordinates.
Sites, in units of the cell vectors:
Cd 0.0000 0.0000 0.0000  0.02
Gd 0.5000 0.5000 0.5000  0.19

Formation enthalpy at 0 K, eV per atom: -0.329
Spin magnetization, μB per formula unit: 0.3
Space-group type: Pm-3m

Entry from OQMD via LeMat-Bulk: a relaxed structure of TbGdCo2Si2C (PBE).

Cell: 5.6523 5.6523 6.8446 Å, 126.91 126.91 40.38°
Sites, in units of the cell vectors:
Gd 0.5638 0.5638 0.2978
Co 0.8019 0.8019 0.9132
Co 0.1979 0.1979 0.0865
Tb 0.4367 0.4367 0.7031
Si 0.8424 0.8424 0.2932
Si 0.1578 0.1578 0.7077
C 0.9995 0.9995 0.9986

Spin magnetization, μB per formula unit: 0.0
Space-group type: Cm

Entry from OQMD via LeMat-Bulk: a relaxed structure of SrPt (PBE).

Cell: 4.7665 4.7665 4.7665 Å, 60.00 60.00 60.00°
Sites, in units of the cell vectors:
Sr 0.2500 0.2500 0.2500
Pt 0.0000 0.0000 0.0000

Spin magnetization, μB per formula unit: 0.0
Space-group type: F-43m

Entry from OQMD via LeMat-Bulk: a relaxed structure of Cu3Si4Se (PBE).

Cell: 4.9939 4.9939 4.9939 Å, 90.00 90.00 90.00°
Sites, in units of the cell vectors:
Se 0.0000 0.0000 0.0000
Cu 0.5000 0.0000 0.5000
Cu 0.0000 0.5000 0.5000
Cu 0.5000 0.5000 0.0000
Si 0.0000 0.0000 0.5000
Si 0.0000 0.5000 0.0000
Si 0.5000 0.0000 0.0000
Si 0.5000 0.5000 0.5000

Space-group type: Pm-3m

Entry from OQMD via LeMat-Bulk: a relaxed structure of HfPaPt (PBE).

Cell: 4.7107 4.7107 4.7107 Å, 60.00 60.00 60.00°
Sites, in units of the cell vectors:
Pt 0.0000 0.0000 0.0000
Hf 0.2500 0.2500 0.2500
Pa 0.7500 0.7500 0.7500

Formation enthalpy at 0 K, eV per atom: -0.228
Spin magnetization, μB per formula unit: 1.6
E above lowest polymorph, meV per atom: 0
Space-group type: F-43m

Entry from OQMD via LeMat-Bulk: a relaxed structure of Sm6GeIr2 (PBE).

Cell: 7.7232 7.7232 4.5903 Å, 90.00 90.00 120.00°
Sites, in units of the cell vectors:
Ge 0.0000 0.0000 0.0000
Sm 0.4061 0.0000 0.0000
Sm 0.0000 0.7302 0.5000
Sm 0.5939 0.5939 0.0000
Sm 0.0000 0.4061 0.0000
Sm 0.7302 0.0000 0.5000
Sm 0.2698 0.2698 0.5000
Ir 0.3333 0.6667 0.5000
Ir 0.6667 0.3333 0.5000

Spin magnetization, μB per formula unit: 0.2
Space-group type: P-62m

Entry from OQMD via LeMat-Bulk: a relaxed structure of Er2Ag2O5 (PBE).

Cell: 6.9516 4.0893 4.0893 Å, 90.00 90.00 90.00°
Sites, in units of the cell vectors:
Ag 0.1910 0.5000 0.5000
Ag 0.8090 0.5000 0.5000
O 0.5000 0.5000 0.5000
O 0.2120 0.5000 0.0000
O 0.2120 0.0000 0.5000
O 0.7880 0.5000 0.0000
O 0.7880 0.0000 0.5000
Er 0.5000 0.0000 0.0000
Er 0.0000 0.0000 0.0000

Spin magnetization, μB per formula unit: 0.0
E above lowest polymorph, meV per atom: 284
Space-group type: P4/mmm

Entry from OQMD via LeMat-Bulk: a relaxed structure of HoZn2SnPd4 (PBE).

Cell: 4.6426 4.6426 6.3823 Å, 90.00 90.00 90.00°
Sites, in units of the cell vectors:
Pd 0.0000 0.5000 0.2352
Pd 0.5000 0.0000 0.2352
Pd 0.0000 0.5000 0.7648
Pd 0.5000 0.0000 0.7648
Zn 0.0000 0.0000 0.0000
Zn 0.5000 0.5000 0.5000
Ho 0.0000 0.0000 0.5000
Sn 0.5000 0.5000 0.0000

Spin magnetization, μB per formula unit: 0.0
Space-group type: P4/mmm

Entry from OQMD via LeMat-Bulk: a relaxed structure of CsPuAgSeS2 (PBE).

Cell: 8.9666 4.1195 10.3901 Å, 90.00 111.78 90.00°
Site moments in Bohr magnetons follow the coordinates.
Sites, in units of the cell vectors:
Cs 0.2350 0.2500 0.2592  -0.01
Cs 0.7650 0.7500 0.7408  -0.01
S 0.5265 0.2500 0.8690  -0.17
S 0.4735 0.7500 0.1310  -0.17
S 0.1251 0.2500 0.8611  -0.14
S 0.8749 0.7500 0.1389  -0.14
Se 0.2479 0.7500 0.5646  -0.16
Se 0.7521 0.2500 0.4354  -0.16
Ag 0.9282 0.7500 0.3969  -0.06
Ag 0.0718 0.2500 0.6031  -0.06
Pu 0.3200 0.7500 0.8549  4.64
Pu 0.6800 0.2500 0.1451  4.64

Spin magnetization, μB per formula unit: 4.0
Space-group type: P2_1/m

Entry from OQMD via LeMat-Bulk: a relaxed structure of ZrCdCuAs (PBE).

Cell: 4.7629 4.7629 4.7629 Å, 60.00 60.00 60.00°
Sites, in units of the cell vectors:
Zr 0.5000 0.5000 0.5000
As 0.0000 0.0000 0.0000
Cu 0.7500 0.7500 0.7500
Cd 0.2500 0.2500 0.2500

Spin magnetization, μB per formula unit: 0.0
E above lowest polymorph, meV per atom: 206
Space-group type: F-43m

Entry from OQMD via LeMat-Bulk: a relaxed structure of KLaCdTe3 (PBE).

Cell: 9.2306 4.6368 11.1233 Å, 90.00 105.76 90.00°
Sites, in units of the cell vectors:
La 0.1933 0.2500 0.6337
La 0.8067 0.7500 0.3663
Te 0.7357 0.7500 0.0491
Te 0.5589 0.2500 0.3583
Te 0.2643 0.2500 0.9509
Te 0.4411 0.7500 0.6417
Te 0.9619 0.7500 0.6580
Te 0.0381 0.2500 0.3420
K 0.2533 0.7500 0.2235
K 0.7467 0.2500 0.7765
Cd 0.4200 0.7500 0.8890
Cd 0.5800 0.2500 0.1110

Spin magnetization, μB per formula unit: 0.0
Space-group type: P2_1/m

Entry from OQMD via LeMat-Bulk: a relaxed structure of Ba2CdPb2 (PBE).

Cell: 6.6796 6.6796 6.6796 Å, 117.94 117.94 93.60°
Sites, in units of the cell vectors:
Ba 0.7500 0.2500 0.5000
Ba 0.2500 0.7500 0.5000
Pb 0.3348 0.3348 0.0000
Pb 0.6652 0.6652 0.0000
Cd 0.0000 0.0000 0.0000

Space-group type: I4/mmm

Number 1: total energy -6.208 eV/cell. Number 2: total energy -48.309 eV/cell. Number 3: total energy -8.254 eV/cell. Number 4: total energy -33.773 eV/cell. Number 5: total energy -26.190 eV/cell. Number 6: total energy -55.016 eV/cell. Number 7: total energy -51.918 eV/cell. Number 8: total energy -36.811 eV/cell. Number 9: total energy -73.106 eV/cell. Number 10: total energy -16.851 eV/cell. Number 11: total energy -46.094 eV/cell. Number 12: total energy -13.091 eV/cell.